No. 1
A geometry-optimized Rb4GeI7 structure. Source: Alexandria via LeMat-Bulk, functional GGA-PBE.

Calculated values
V: 604.9 Å³/f.u.
DFT total energy: -2.589 eV per atom

Unit cell a=9.1647 b=9.1647 c=12.4852 alpha=114.41 beta=114.41 gamma=39.96
Closest atoms and distances in Å follow each position.
Atoms (fractional coordinates):
Rb  0.0487  0.0487  0.2359  6 I 3.52-3.78
Rb  0.2302  0.2302  0.8171  5 I 3.68-4.03
Rb  0.7698  0.7698  0.1829  5 I 3.68-4.03
Rb  0.9513  0.9513  0.7641  6 I 3.52-3.78
Ge  0.5000  0.5000  0.5000  4 I 2.89-3.13
I  0.0000  0.0000  0.5000  2 Ge 3.13
I  0.1523  0.1523  0.0480  5 Rb 3.52-3.71
I  0.2663  0.2663  0.5052  2 I 3.17
I  0.4307  0.4307  0.2428  1 Ge 2.89
I  0.5693  0.5693  0.7572  1 Ge 2.89
I  0.7337  0.7337  0.4948  2 I 3.17
I  0.8477  0.8477  0.9520  5 Rb 3.52-3.71

No. 2
A geometry-optimized Rb3GeI6 structure. Source: Alexandria via LeMat-Bulk, functional GGA-PBE.

Calculated values
Energy above the lowest structure with this stoichiometry: 0.11 eV per formula unit
V: 519.4 Å³/f.u.

Unit cell a=10.1284 b=10.1284 c=10.1284 alpha=89.30 beta=89.30 gamma=89.30
Closest atoms and distances in Å follow each position.
Atoms (fractional coordinates):
Rb  0.0630  0.7313  0.5827  6 I 3.66-3.78
Rb  0.2687  0.4173  0.9370  6 I 3.66-3.78
Rb  0.4173  0.9370  0.2687  6 I 3.66-3.78
Rb  0.5827  0.0630  0.7313  6 I 3.66-3.78
Rb  0.7313  0.5827  0.0630  6 I 3.66-3.78
Rb  0.9370  0.2687  0.4173  6 I 3.66-3.78
Ge  0.0000  0.0000  0.0000  6 I 2.93
Ge  0.5000  0.5000  0.5000  6 I 2.93
I  0.0464  0.7189  0.9496  1 Ge 2.93
I  0.0504  0.9536  0.2811  1 Ge 2.93
I  0.2372  0.4041  0.5736  1 Ge 2.93
I  0.2811  0.0504  0.9536  1 Ge 2.93
I  0.4041  0.5736  0.2372  1 Ge 2.93
I  0.4264  0.7628  0.5959  1 Ge 2.93
I  0.5736  0.2372  0.4041  1 Ge 2.93
I  0.5959  0.4264  0.7628  1 Ge 2.93
I  0.7189  0.9496  0.0464  1 Ge 2.93
I  0.7628  0.5959  0.4264  1 Ge 2.93
I  0.9496  0.0464  0.7189  1 Ge 2.93
I  0.9536  0.2811  0.0504  1 Ge 2.93

No. 3
A geometry-optimized RbGe2I2 structure. Source: Alexandria via LeMat-Bulk, functional GGA-PBE.

Calculated values
Energy above the lowest structure with this stoichiometry: 0.00 eV per formula unit
V: 167.4 Å³/f.u.

Unit cell a=10.4116 b=10.4116 c=10.4116 alpha=157.34 beta=157.34 gamma=32.26
Closest atoms and distances in Å follow each position.
Atoms (fractional coordinates):
Rb  0.0000  0.0000  0.0000  8 I 3.69, 4 Rb 4.09
Ge  0.2500  0.7500  0.5000  4 Ge 2.89
Ge  0.7500  0.2500  0.5000  4 Ge 2.89
I  0.3855  0.3855  0.0000  4 Ge 3.40, 4 Rb 3.69
I  0.6145  0.6145  0.0000  4 Ge 3.40, 4 Rb 3.69

No. 4
A geometry-optimized Rb2GeI5 structure. Source: Alexandria via LeMat-Bulk, functional GGA-PBE.

Calculated values
V: 391.7 Å³/f.u.
DFT total energy: -2.615 eV per atom

Unit cell a=8.0498 b=8.0498 c=8.0498 alpha=114.96 beta=114.96 gamma=98.98
Closest atoms and distances in Å follow each position.
Atoms (fractional coordinates):
Rb  0.0000  0.5000  0.5000  10 I 4.00-4.35
Rb  0.5000  0.0000  0.5000  10 I 4.00-4.35
Ge  0.2901  0.2901  0.0000  5 I 2.64-2.88
I  0.0137  0.0137  0.5362  1 Ge 2.88
I  0.0137  0.4775  0.0000  1 Ge 2.88
I  0.4775  0.0137  0.0000  1 Ge 2.88
I  0.4775  0.4775  0.4638  1 Ge 2.88
I  0.5430  0.5430  0.0000  1 Ge 2.64

No. 5
A geometry-optimized Rb2ReGeI6 structure. Source: Alexandria via LeMat-Bulk, functional GGA-PBE.

Calculated values
V: 400.3 Å³/f.u.
DFT total energy: -3.214 eV per atom

Unit cell a=8.2726 b=8.2726 c=8.2726 alpha=60.00 beta=60.00 gamma=60.00
Closest atoms and distances in Å follow each position.
Atoms (fractional coordinates):
Rb  0.2500  0.2500  0.2500  12 I 4.14
Rb  0.7500  0.7500  0.7500  12 I 4.14
Re  0.0000  0.0000  0.0000  6 I 2.81
Ge  0.5000  0.5000  0.5000  6 I 3.04
I  0.2402  0.2402  0.7598  1 Re 2.81, 1 Ge 3.04
I  0.2402  0.7598  0.2402  1 Re 2.81, 1 Ge 3.04
I  0.2402  0.7598  0.7598  1 Re 2.81, 1 Ge 3.04
I  0.7598  0.2402  0.2402  1 Re 2.81, 1 Ge 3.04
I  0.7598  0.2402  0.7598  1 Re 2.81, 1 Ge 3.04
I  0.7598  0.7598  0.2402  1 Re 2.81, 1 Ge 3.04

No. 6
A geometry-optimized Rb2GeSI6 structure. Source: Alexandria via LeMat-Bulk, functional GGA-PBE.

Calculated values
V: 396.4 Å³/f.u.
DFT total energy: -2.558 eV per atom

Unit cell a=8.3093 b=8.3093 c=8.3093 alpha=121.44 beta=121.44 gamma=87.52
Closest atoms and distances in Å follow each position.
Atoms (fractional coordinates):
Rb  0.2500  0.7500  0.5000  12 I 4.07-4.15
Rb  0.7500  0.2500  0.5000  12 I 4.07-4.15
Ge  0.0000  0.0000  0.0000  6 I 2.90
S  0.5000  0.5000  0.0000  6 I 2.85-3.10
I  0.2416  0.2416  0.0000  1 Ge 2.90, 1 S 3.10
I  0.2524  0.2524  0.5048  1 S 2.85, 1 Ge 2.90
I  0.2524  0.7476  0.0000  1 S 2.85, 1 Ge 2.90
I  0.7476  0.2524  0.0000  1 S 2.85, 1 Ge 2.90
I  0.7476  0.7476  0.4952  1 S 2.85, 1 Ge 2.90
I  0.7584  0.7584  0.0000  1 Ge 2.90, 1 S 3.10

No. 7
A geometry-optimized Rb2GeSbI6 structure. Source: Alexandria via LeMat-Bulk, functional GGA-PBE.

Calculated values
V: 446.0 Å³/f.u.
DFT total energy: -2.710 eV per atom

Unit cell a=8.5782 b=8.5782 c=8.5782 alpha=120.06 beta=120.06 gamma=89.90
Closest atoms and distances in Å follow each position.
Atoms (fractional coordinates):
Rb  0.2500  0.7500  0.5000  12 I 4.29
Rb  0.7500  0.2500  0.5000  12 I 4.29
Ge  0.0000  0.0000  0.0000  6 I 2.98-2.99
Sb  0.5000  0.5000  0.0000  6 I 3.08
I  0.2462  0.2462  0.0000  1 Ge 2.99, 1 Sb 3.08
I  0.2458  0.2458  0.4917  1 Ge 2.98, 1 Sb 3.08
I  0.2458  0.7542  0.0000  1 Ge 2.98, 1 Sb 3.08
I  0.7542  0.2458  0.0000  1 Ge 2.98, 1 Sb 3.08
I  0.7538  0.7538  0.0000  1 Ge 2.99, 1 Sb 3.08
I  0.7542  0.7542  0.5083  1 Ge 2.98, 1 Sb 3.08

No. 8
A geometry-optimized RbSn2GeI8 structure. Source: Alexandria via LeMat-Bulk, functional GGA-PBE.

Calculated values
V: 532.9 Å³/f.u.
DFT total energy: -2.672 eV per atom

Unit cell a=7.2825 b=7.6455 c=9.5775 alpha=89.74 beta=89.73 gamma=88.00
Closest atoms and distances in Å follow each position.
Atoms (fractional coordinates):
Rb  0.0000  0.0000  0.0000  6 I 3.52-3.55
Sn  0.4983  0.4990  0.2603  6 I 3.10-3.30
Sn  0.5017  0.5010  0.7397  6 I 3.10-3.30
Ge  0.0000  0.0000  0.5000  6 I 2.96-3.10
I  0.2444  0.3245  0.4997  1 Ge 3.10, 2 Sn 3.25-3.30
I  0.2468  0.8322  0.7104  1 Ge 2.96, 1 Sn 3.10
I  0.2481  0.8337  0.2892  1 Ge 2.96, 1 Sn 3.10
I  0.2797  0.3710  0.0020  2 Sn 3.13-3.16
I  0.7203  0.6290  0.9980  2 Sn 3.13-3.16
I  0.7519  0.1663  0.7108  1 Ge 2.96, 1 Sn 3.10
I  0.7532  0.1678  0.2896  1 Ge 2.96, 1 Sn 3.10
I  0.7556  0.6755  0.5003  1 Ge 3.10, 2 Sn 3.25-3.30

No. 9
A geometry-optimized Rb4SnGe3I12 structure. Source: Alexandria via LeMat-Bulk, functional GGA-PBE.

Calculated values
V: 877.8 Å³/f.u.
DFT total energy: -2.808 eV per atom

Unit cell a=10.4471 b=10.4471 c=10.4471 alpha=109.47 beta=109.47 gamma=109.47
Closest atoms and distances in Å follow each position.
Atoms (fractional coordinates):
Rb  0.0000  0.0000  0.5000  12 I 4.27
Rb  0.0000  0.5000  0.0000  12 I 4.27
Rb  0.5000  0.0000  0.0000  12 I 4.27
Rb  0.5000  0.5000  0.5000  12 I 4.27
Sn  0.0000  0.0000  0.0000  6 I 3.09
Ge  0.0000  0.5000  0.5000  6 I 2.94-3.02
Ge  0.5000  0.0000  0.5000  6 I 2.94-3.02
Ge  0.5000  0.5000  0.0000  6 I 2.94-3.02
I  0.0000  0.2561  0.2561  1 Ge 2.94, 1 Sn 3.09
I  0.0000  0.7439  0.7439  1 Ge 2.94, 1 Sn 3.09
I  0.2500  0.5000  0.7500  2 Ge 3.02
I  0.2500  0.7500  0.5000  2 Ge 3.02
I  0.2561  0.0000  0.2561  1 Ge 2.94, 1 Sn 3.09
I  0.2561  0.2561  0.0000  1 Ge 2.94, 1 Sn 3.09
I  0.5000  0.2500  0.7500  2 Ge 3.02
I  0.5000  0.7500  0.2500  2 Ge 3.02
I  0.7439  0.0000  0.7439  1 Ge 2.94, 1 Sn 3.09
I  0.7439  0.7439  0.0000  1 Ge 2.94, 1 Sn 3.09
I  0.7500  0.2500  0.5000  2 Ge 3.02
I  0.7500  0.5000  0.2500  2 Ge 3.02

No. 10
A geometry-optimized RbSnGe2I8 structure. Source: Alexandria via LeMat-Bulk, functional GGA-PBE.

Calculated values
V: 671.2 Å³/f.u.
DFT total energy: -2.689 eV per atom

Unit cell a=9.0029 b=9.0029 c=9.5615 alpha=90.00 beta=90.00 gamma=120.00
Closest atoms and distances in Å follow each position.
Atoms (fractional coordinates):
Rb  0.0000  0.0000  0.0000  6 I 3.85
Sn  0.0000  0.0000  0.5000  6 I 3.10
Ge  0.3333  0.6667  0.2182  4 I 2.63-2.84
Ge  0.6667  0.3333  0.7818  4 I 2.63-2.84
I  0.1598  0.3195  0.3072  1 Ge 2.84, 1 Sn 3.10
I  0.1598  0.8402  0.3072  1 Ge 2.84, 1 Sn 3.10
I  0.3195  0.1598  0.6928  1 Ge 2.84, 1 Sn 3.10
I  0.3333  0.6667  0.9429  1 Ge 2.63
I  0.6667  0.3333  0.0571  1 Ge 2.63
I  0.6805  0.8402  0.3072  1 Ge 2.84, 1 Sn 3.10
I  0.8402  0.1598  0.6928  1 Ge 2.84, 1 Sn 3.10
I  0.8402  0.6805  0.6928  1 Ge 2.84, 1 Sn 3.10

No. 11
A geometry-optimized Rb2SrGeI6 structure. Source: Alexandria via LeMat-Bulk, functional GGA-PBE.

Calculated values
Energy above the lowest structure with this stoichiometry: 0.43 eV per formula unit
V: 480.8 Å³/f.u.

Unit cell a=8.7935 b=8.7935 c=8.7935 alpha=60.00 beta=60.00 gamma=60.00
Closest atoms and distances in Å follow each position.
Atoms (fractional coordinates):
Rb  0.2500  0.2500  0.2500  12 I 4.40
Rb  0.7500  0.7500  0.7500  12 I 4.40
Sr  0.0000  0.0000  0.0000  6 I 3.23
Ge  0.5000  0.5000  0.5000  6 I 2.99
I  0.2594  0.2594  0.7406  1 Ge 2.99, 1 Sr 3.23
I  0.2594  0.7406  0.2594  1 Ge 2.99, 1 Sr 3.23
I  0.2594  0.7406  0.7406  1 Ge 2.99, 1 Sr 3.23
I  0.7406  0.2594  0.2594  1 Ge 2.99, 1 Sr 3.23
I  0.7406  0.2594  0.7406  1 Ge 2.99, 1 Sr 3.23
I  0.7406  0.7406  0.2594  1 Ge 2.99, 1 Sr 3.23

No. 12
A geometry-optimized Rb3SrGe2I9 structure. Source: Alexandria via LeMat-Bulk, functional GGA-PBE.

Calculated values
V: 696.4 Å³/f.u.
DFT total energy: -2.871 eV per atom

Unit cell a=8.5953 b=8.5953 c=10.8847 alpha=90.00 beta=90.00 gamma=120.00
Closest atoms and distances in Å follow each position.
Atoms (fractional coordinates):
Rb  0.0000  0.0000  0.0000  12 I 4.27-4.30
Rb  0.3333  0.6667  0.7200  9 I 3.93-4.32
Rb  0.6667  0.3333  0.2800  9 I 3.93-4.32
Sr  0.0000  0.0000  0.5000  6 I 3.24
Ge  0.3333  0.6667  0.1603  6 I 2.95-3.03
Ge  0.6667  0.3333  0.8397  6 I 2.95-3.03
I  0.0000  0.5000  0.0000  2 Ge 3.03
I  0.1704  0.3408  0.3154  1 Ge 2.95, 1 Sr 3.24
I  0.1704  0.8296  0.3154  1 Ge 2.95, 1 Sr 3.24
I  0.3408  0.1704  0.6846  1 Ge 2.95, 1 Sr 3.24
I  0.5000  0.0000  0.0000  2 Ge 3.03
I  0.5000  0.5000  0.0000  2 Ge 3.03
I  0.6592  0.8296  0.3154  1 Ge 2.95, 1 Sr 3.24
I  0.8296  0.1704  0.6846  1 Ge 2.95, 1 Sr 3.24
I  0.8296  0.6592  0.6846  1 Ge 2.95, 1 Sr 3.24

| no. | mass density (g cm⁻³) |
| --- | --- |
| 1 | 3.58 |
| 2 | 3.49 |
| 3 | 4.81 |
| 4 | 3.72 |
| 5 | 4.94 |
| 6 | 4.34 |
| 7 | 4.20 |
| 8 | 4.40 |
| 9 | 4.16 |
| 10 | 3.38 |
| 11 | 3.77 |
| 12 | 3.89 |